Entry 1:
DFT (PBE with a Hubbard U) results for an optimized crystal structure of Rb2NdW3O12.

Properties
As for the uncorrected energy: -7.019 eV per atom. As for the spin magnetization: 0.051 μB per atom. For the volume, the calculation gives 17.47 A^3/atom.

abc: 7.5473 7.5473 19.1229
angles: 90.00 90.00 120.00
Space group R-3m (No. 166, hexagonal axes)
Unique sites:
Rb  0.0000  0.0000  0.1343 [6 per cell]
Nd  0.0000  0.0000  0.5000 [3 per cell]
W  0.0000  0.5000  0.0000 [9 per cell]
O  0.0301  0.5150  0.0991 [18 per cell]
O  0.0895  0.5447  0.3407 [18 per cell]

Entry 2:
DFT (PBE with a Hubbard U) results for an optimized crystal structure of Rb2NdWO6.

Properties
As for the uncorrected energy: -6.501 eV per atom. As for the spin magnetization: 0.108 μB per atom. For the volume, the calculation gives 18.40 A^3/atom.

abc: 6.4089 6.4089 31.0398
angles: 90.00 90.00 120.00
Space group R-3m (No. 166, hexagonal axes)
Unique sites:
Rb  0.0000  0.0000  0.1334 [6 per cell]
Rb  0.0000  0.0000  0.2685 [6 per cell]
Nd  0.0000  0.0000  0.3991 [6 per cell]
W  0.0000  0.0000  0.0000 [3 per cell]
W  0.0000  0.0000  0.5000 [3 per cell]
O  0.0451  0.5225  0.7029 [18 per cell]
O  0.0551  0.5275  0.1280 [18 per cell]

Copy entry 1 word for word.
DFT (PBE with a Hubbard U) results for an optimized crystal structure of Rb2NdW3O12.

Properties
As for the uncorrected energy: -7.019 eV per atom. As for the spin magnetization: 0.051 μB per atom. For the volume, the calculation gives 17.47 A^3/atom.

abc: 7.5473 7.5473 19.1229
angles: 90.00 90.00 120.00
Space group R-3m (No. 166, hexagonal axes)
Unique sites:
Rb  0.0000  0.0000  0.1343 [6 per cell]
Nd  0.0000  0.0000  0.5000 [3 per cell]
W  0.0000  0.5000  0.0000 [9 per cell]
O  0.0301  0.5150  0.0991 [18 per cell]
O  0.0895  0.5447  0.3407 [18 per cell]

> Which of these has the highest spin magnetization?

Rb2NdWO6

> Look up the spin magnetization of the second one.

0.108 μB per atom

> Which of these has the lowest uncorrected energy?

Rb2NdW3O12